Computed, not measured: Cs2Br2F at its PBEsol-relaxed geometry at the SCAN level of DFT.

a = 4.382 Å, b = 4.382 Å, c = 9.593 Å
α = 103.20°, β = 103.20°, γ = 90.00°
Fractional coordinates of all 5 atoms:
F1 0.000 0.000 0.000
Br1 0.750 0.250 0.500
Br2 0.250 0.750 0.500
Cs1 0.599 0.599 0.197
Cs2 0.401 0.401 0.803

Properties
Spin magnetization, μB per formula unit: 0.0
Formation energy without anion corrections, meV per atom: -1590

Computed, not measured: Cs3RbSi at its PBEsol-relaxed geometry at the SCAN level of DFT.

a = 8.102 Å, b = 8.102 Å, c = 8.102 Å
α = 90.00°, β = 90.00°, γ = 90.00°
Fractional coordinates of all 5 atoms:
Si1 0.500 0.500 0.500
Cs1 0.500 0.000 0.000
Cs2 0.000 0.500 0.000
Cs3 0.000 0.000 0.500
Rb1 0.000 0.000 0.000

Properties
Spin magnetization, μB per formula unit: 2.0
Formation energy without anion corrections, meV per atom: 836

| no. | DOS(E_F) (states/eV per cell) |
| --- | --- |
| 1 | 2.10 |
| 2 | 2.72 |